NaBi2PRh (PBE, relaxed); E_form = 0.38 eV per atom; symmetry = P4/mmm, No. 123; total magnetic moment = 0.00 μB per cell; E_tot = -3.99 eV/atom; calculated volume = 27.28 A^3/atom
1.0
5.160 0.000 0.000
0.000 5.160 0.000
0.000 0.000 5.122
Na Bi P Rh
1 2 1 1
Direct
0.000 0.000 0.000 Na
0.000 0.500 0.500 Bi
0.500 0.000 0.500 Bi
0.500 0.500 0.000 P
0.000 0.000 0.500 Rh